Na2CeAu3 | GGA-PBE | optimized geometry

The value obtained for the formation energy is -434 meV/atom. Its theoretical density is 9.22 g/cm3.

CIF file:
```
data_Na2CeAu3
_symmetry_space_group_name_H-M 'P -3 m 1'
_symmetry_Int_Tables_number 164
_symmetry_space_group_name_Hall '-P 3 2"'
_cell_length_a 5.1067
_cell_length_b 5.1067
_cell_length_c 12.3955
_cell_angle_alpha 90.00
_cell_angle_beta 90.00
_cell_angle_gamma 120.00
loop_
_atom_site_label
_atom_site_type_symbol
_atom_site_fract_x
_atom_site_fract_y
_atom_site_fract_z
Na1 Na 0.0000 0.0000 0.0000
Na2 Na 0.0000 0.0000 0.5000
Na3 Na 0.3333 0.6667 0.1516
Ce1 Ce 0.3333 0.6667 0.6638
Au1 Au 0.0000 0.0000 0.2555
Au2 Au 0.3333 0.6667 0.4060
Au3 Au 0.3333 0.6667 0.9049
```